--- one ---
This record from Alexandria via LeMat-Bulk describes crystalline MnPd2Pt2 at its relaxed geometry. The functional is GGA-PBE.

Computed properties:
- Space-group type: P6_3/mmc

a = 4.326 Å, b = 4.326 Å, c = 9.942 Å
α = 90.00°, β = 90.00°, γ = 120.00°
Atoms (fractional coordinates):
Mn  0.000  0.000  0.250
Mn  0.000  0.000  0.750
Pd  0.333  0.667  0.606
Pd  0.667  0.333  0.106
Pd  0.667  0.333  0.394
Pd  0.333  0.667  0.894
Pt  0.667  0.333  0.750
Pt  0.000  0.000  0.000
Pt  0.000  0.000  0.500
Pt  0.333  0.667  0.250

---

--- two ---
This record from Alexandria via LeMat-Bulk describes crystalline MnPd2Pt2 at its relaxed geometry. The functional is GGA-PBE.

Computed properties:
- Space-group type: I4/mmm

a = 4.947 Å, b = 4.947 Å, c = 5.207 Å
α = 118.37°, β = 118.37°, γ = 90.00°
Atoms (fractional coordinates):
Mn  0.000  0.000  0.000
Pd  0.663  0.663  0.326
Pd  0.337  0.337  0.674
Pt  0.250  0.750  0.500
Pt  0.750  0.250  0.500

---

Among the structures shown above, one is the most stable, with the second-best lying 424 meV/atom higher.